No. 1
DFT (PBE-GGA) results for a geometry-optimized YCr2Ag structure.

Properties
space-group type: No. 139
theoretical density: 6.24 g/cm3
uncorrected energy: -26.47 eV per cell
M_tot: 8.32 μB per cell

Unit cell a=5.0492 b=5.0492 c=5.0492 alpha=126.75 beta=126.75 gamma=78.66
Last column: nearest neighbours and their distance in Å.
Atoms (fractional coordinates):
Y 0.0000 0.0000 0.0000  8 Cr 2.99, 4 Ag 3.20
Cr 0.2500 0.7500 0.5000  4 Ag 2.99, 4 Y 2.99, 4 Cr 3.20
Cr 0.7500 0.2500 0.5000  4 Ag 2.99, 4 Y 2.99, 4 Cr 3.20
Ag 0.5000 0.5000 0.0000  8 Cr 2.99, 4 Y 3.20


No. 2
DFT (PBE-GGA) results for a geometry-optimized AlAgBr2 structure.

Properties
energy relative to the elements, uncorrected: -0.1358 eV/atom
space-group type: No. 65
theoretical density: 4.32 g/cm3
uncorrected energy: -10.48 eV per cell
M_tot: 0.00 μB per cell

Unit cell a=3.9810 b=3.9810 c=7.9301 alpha=90.00 beta=90.00 gamma=115.78
Last column: nearest neighbours and their distance in Å.
Atoms (fractional coordinates):
Al 0.0000 0.0000 0.0000  4 Br 2.98
Ag 0.0000 0.0000 0.5000  4 Br 2.82
Br 0.5000 0.5000 0.2653  2 Ag 2.82, 2 Al 2.98
Br 0.5000 0.5000 0.7347  2 Ag 2.82, 2 Al 2.98


Calculated distance to the lowest polymorph of the same formula, 280; 346 meV per atom (same order as the records).